Entry 1:
Entry from Alexandria: crystalline Zr6Hg3Au at its relaxed geometry (PBE-GGA).

- SG: C2/m
- N(E_F): 11.09 states/eV per cell
- Mass density: 9.86 g/cm3
- Calculated formation energy: 0.042 eV/atom

```
Zr6Hg3Au
1.0
5.1468 -2.9284 0.0000
5.1468 2.9284 0.0000
-2.4920 0.0000 7.5187
Zr Hg Au
6 3 1
Direct
0.0953 0.6030 0.1860
0.1371 0.1371 0.4325
0.3970 0.9047 0.8140
0.6030 0.0953 0.1860
0.8629 0.8629 0.5675
0.9047 0.3970 0.8140
0.3890 0.3890 0.7987
0.5000 0.5000 0.5000
0.6110 0.6110 0.2013
0.0000 0.0000 0.0000
```



Entry 2:
Entry from Alexandria: crystalline Ag3F at its relaxed geometry (PBE-GGA).

- SG: Imm2
- N(E_F): 0.64 states/eV per cell
- Formation energy without anion corrections: -0.42 eV/atom
- Mass density: 8.66 g/cm3

```
Ag3F
1.0
-1.4680 4.4718 2.5025
1.4680 -4.4718 2.5025
1.4680 4.4718 -2.5025
Ag F
3 1
Direct
0.0003 0.0003 0.0000
0.2812 0.5000 0.7812
0.7188 0.5000 0.2188
0.5022 0.0022 0.5000
```



Entry 3:
Entry from Alexandria: crystalline AgRuCl6 at its relaxed geometry (PBE-GGA).

- SG: C2/c
- N(E_F): 4.93 states/eV per cell
- Formation energy without anion corrections: -0.42 eV/atom
- Mass density: 3.08 g/cm3

```
AgRuCl6
1.0
4.9348 -4.2750 0.0000
4.9348 4.2750 0.0000
-0.7833 0.0000 10.7671
Ag Ru Cl
2 2 12
Direct
0.0248 0.9752 0.7500
0.9752 0.0248 0.2500
0.0000 0.5000 0.0000
0.5000 0.0000 0.5000
0.0493 0.5890 0.7962
0.1590 0.7845 0.0792
0.2155 0.8410 0.4208
0.2979 0.3149 0.5028
0.3149 0.2979 0.0028
0.4110 0.9507 0.7038
0.5890 0.0493 0.2962
0.6851 0.7021 0.9972
0.7021 0.6851 0.4972
0.7845 0.1590 0.5792
0.8410 0.2155 0.9208
0.9507 0.4110 0.2038
```



Entry 4:
Entry from Alexandria: crystalline RbCrW3 at its relaxed geometry (PBE-GGA).

- SG: Pm-3m
- N(E_F): 6.27 states/eV per cell
- Mass density: 11.60 g/cm3
- Calculated formation energy: 4.196 eV/atom

```
RbCrW3
1.0
4.6205 0.0000 0.0000
0.0000 4.6205 0.0000
0.0000 0.0000 4.6205
Rb Cr W
1 1 3
Direct
0.0000 0.0000 0.0000
0.5000 0.5000 0.5000
0.0000 0.0000 0.5000
0.0000 0.5000 0.0000
0.5000 0.0000 0.0000
```



Entry 5:
Entry from Alexandria: crystalline Cs2PuInF8 at its relaxed geometry (PBE-GGA).

- SG: I-4m2
- N(E_F): 11.01 states/eV per cell
- Formation energy without anion corrections: -2.85 eV/atom
- Mass density: 5.96 g/cm3

```
Cs2PuInF8
1.0
-3.1752 3.1752 5.3636
3.1752 -3.1752 5.3636
3.1752 3.1752 -5.3636
Cs Pu In F
2 1 1 8
Direct
0.0000 0.0000 0.0000
0.7500 0.2500 0.5000
0.2500 0.7500 0.5000
0.5000 0.5000 0.0000
0.1923 0.1386 0.5752
0.1923 0.6171 0.0537
0.3829 0.4366 0.5752
0.3829 0.8077 0.9463
0.5634 0.1386 0.9463
0.5634 0.6171 0.4248
0.8614 0.4366 0.0537
0.8614 0.8077 0.4248
```



Entry 6:
Entry from Alexandria: crystalline Dy6Te3Rh2S at its relaxed geometry (PBE-GGA).

- SG: C2/m
- N(E_F): 6.51 states/eV per cell
- Formation energy without anion corrections: -1.26 eV/atom
- Mass density: 8.36 g/cm3

```
Dy6Te3Rh2S
1.0
3.5729 -6.1983 0.0000
3.5729 6.1983 0.0000
-2.4185 0.0000 7.1571
Dy Te Rh S
6 3 2 1
Direct
0.0887 0.4316 0.7905
0.2266 0.2266 0.2093
0.4316 0.0887 0.7905
0.5684 0.9113 0.2095
0.7734 0.7734 0.7907
0.9113 0.5684 0.2095
0.0000 0.0000 0.5000
0.3366 0.6634 0.5000
0.6634 0.3366 0.5000
0.1674 0.8326 0.0000
0.8326 0.1674 0.0000
0.5000 0.5000 0.0000
```



Entry 7:
Entry from Alexandria: crystalline SrTcF3 at its relaxed geometry (PBE-GGA).

- SG: Pm-3m
- N(E_F): 7.58 states/eV per cell
- Formation energy without anion corrections: -1.71 eV/atom
- Mass density: 3.84 g/cm3

```
SrTcF3
1.0
4.7145 0.0000 0.0000
0.0000 4.7145 0.0000
0.0000 0.0000 4.7145
Sr Tc F
1 1 3
Direct
0.0000 0.0000 0.0000
0.5000 0.5000 0.5000
0.0000 0.0000 0.5000
0.0000 0.5000 0.0000
0.5000 0.0000 0.0000
```



Entry 8:
Entry from Alexandria: crystalline TcIr2Au at its relaxed geometry (PBE-GGA).

- SG: I-4m2
- N(E_F): 5.14 states/eV per cell
- Mass density: 18.52 g/cm3
- Calculated formation energy: 0.267 eV/atom

```
TcIr2Au
1.0
-1.9445 1.9445 4.0283
1.9445 -1.9445 4.0283
1.9445 1.9445 -4.0283
Tc Ir Au
1 2 1
Direct
0.0000 0.0000 0.0000
0.5000 0.5000 0.0000
0.7500 0.2500 0.5000
0.2500 0.7500 0.5000
```



Entry 9:
Entry from Alexandria: crystalline NaHoLuIn at its relaxed geometry (PBE-GGA).

- SG: F-43m
- N(E_F): 3.27 states/eV per cell
- Mass density: 7.39 g/cm3
- Calculated formation energy: -0.085 eV/atom

```
NaHoLuIn
1.0
0.0000 3.7718 3.7718
3.7718 0.0000 3.7718
3.7718 3.7718 0.0000
Na Ho Lu In
1 1 1 1
Direct
0.0000 0.0000 0.0000
0.7500 0.7500 0.7500
0.2500 0.2500 0.2500
0.5000 0.5000 0.5000
```



Entry 10:
Entry from Alexandria: crystalline TlTcBr2 at its relaxed geometry (PBE-GGA).

- SG: R-3m
- N(E_F): 3.18 states/eV per cell
- Formation energy without anion corrections: 0.13 eV/atom
- Mass density: 6.80 g/cm3

```
TlTcBr2
1.0
1.8127 1.0466 9.9130
-1.8127 1.0466 9.9130
0.0000 -2.0931 9.9130
Tl Tc Br
1 1 2
Direct
0.0000 0.0000 0.0000
0.5000 0.5000 0.5000
0.1158 0.1158 0.1158
0.8842 0.8842 0.8842
```



Entry 11:
Entry from Alexandria: crystalline CdGa3Au3 at its relaxed geometry (PBE-GGA).

- SG: R-3
- N(E_F): 3.58 states/eV per cell
- Mass density: 10.39 g/cm3
- Calculated formation energy: -0.176 eV/atom

```
CdGa3Au3
1.0
4.0297 2.3266 5.1872
-4.0297 2.3266 5.1872
0.0000 -4.6531 5.1872
Cd Ga Au
2 6 6
Direct
0.1689 0.1689 0.1689
0.8311 0.8311 0.8311
0.0826 0.3795 0.6925
0.3075 0.9174 0.6205
0.3795 0.6925 0.0826
0.6205 0.3075 0.9174
0.6925 0.0826 0.3795
0.9174 0.6205 0.3075
0.1248 0.7654 0.4436
0.2346 0.5564 0.8752
0.4436 0.1248 0.7654
0.5564 0.8752 0.2346
0.7654 0.4436 0.1248
0.8752 0.2346 0.5564
```



Entry 12:
Entry from Alexandria: crystalline MgPt2N at its relaxed geometry (PBE-GGA).

- SG: I-42d
- N(E_F): 4.84 states/eV per cell
- Formation energy without anion corrections: 0.19 eV/atom
- Mass density: 9.40 g/cm3

```
MgPt2N
1.0
-2.4754 2.4754 6.1734
2.4754 -2.4754 6.1734
2.4754 2.4754 -6.1734
Mg Pt N
2 4 2
Direct
0.0000 0.0000 0.0000
0.7500 0.2500 0.5000
0.3004 0.6250 0.1754
0.3750 0.5504 0.6754
0.4496 0.1250 0.8246
0.8750 0.6996 0.3246
0.2500 0.7500 0.5000
0.5000 0.5000 0.0000
```



Entry 13:
Entry from Alexandria: crystalline GaAg6Au2 at its relaxed geometry (PBE-GGA).

- SG: C2/m
- N(E_F): 3.10 states/eV per cell
- Mass density: 11.43 g/cm3
- Calculated formation energy: -0.006 eV/atom

```
GaAg6Au2
1.0
3.7004 -7.2233 0.0000
3.7004 7.2233 0.0000
-0.5989 0.0000 3.0196
Ga Ag Au
1 6 2
Direct
0.0000 0.0000 0.0000
0.1688 0.5062 0.1785
0.3310 0.3310 0.6729
0.4938 0.8312 0.8215
0.5062 0.1688 0.1785
0.6690 0.6690 0.3271
0.8312 0.4938 0.8215
0.1528 0.8472 0.5000
0.8472 0.1528 0.5000
```